PBE Ba2ErSnTe5, relaxed; D(E_F) = 0.27 states/eV per atom; formation energy (no corrections) = -1.22 eV per atom; magnetic moment = 0.00 μB per formula unit; symmetry = Cmc2_1
1.0
4.714 0.000 0.000
-2.357 10.070 0.000
0.000 0.000 14.230
Er Te Ba Sn
2 10 4 2
Direct
0.790 0.580 0.521
0.210 0.420 0.021
0.053 0.106 0.068
0.288 0.576 0.660
0.492 0.985 0.759
0.358 0.716 0.000
0.642 0.284 0.500
0.508 0.015 0.259
0.712 0.424 0.160
0.685 0.371 0.873
0.947 0.894 0.568
0.315 0.629 0.373
0.134 0.269 0.314
0.884 0.768 0.182
0.116 0.232 0.682
0.866 0.731 0.814
0.452 0.905 0.446
0.548 0.095 0.946